[1]
Sm2InCu3Ni12: optimized geometry, PBE.

a = 6.1051 Å, b = 6.1051 Å, c = 25.8442 Å
α = 90.00°, β = 90.00°, γ = 120.00°
Space group R-3m (No. 166, hexagonal axes)
One atom of each set of equivalent atoms:
Sm 0.0000 0.0000 0.1384 x6
In 0.0000 0.0000 0.5000 x3
Cu 0.0000 0.5000 0.0000 x9
Ni 0.0611 0.5305 0.9014 x18
Ni 0.0807 0.5404 0.6232 x18

Computed properties:
Raw total energy in eV per atom: -5.01
DFT formation energy in eV per atom: 0.21

[2]
DyHo3Er2Bi6: optimized geometry, PBE.

a = 19.413 Å, b = 4.454 Å, c = 8.910 Å
α = 90.00°, β = 103.20°, γ = 90.00°
Space group C2/m (No. 12)
One atom of each set of equivalent atoms:
Dy 0.000 0.000 0.000 x2
Ho 0.000 0.000 0.500 x2
Ho 0.166 0.500 0.833 x4
Er 0.167 0.500 0.333 x4
Bi 0.000 0.500 0.251 x4
Bi 0.167 0.000 0.084 x4
Bi 0.167 0.000 0.582 x4

Computed properties:
Raw total energy in eV per atom: -5.06
DFT formation energy in eV per atom: -0.83